BaAcP2Se8 | PBE-GGA | relaxed

## Properties
The space group is P-3 (147). For the magnetization, the calculation gives 0.000 Bohr magnetons per cell. As for the volume: 357.18 Å³ per cell. Its total energy is -4.456 eV per atom.

CIF file:
```
data_BaAcP2Se8
_space_group_name_H-M_alt 'P 1'
_space_group_IT_number 1
_space_group_name_Hall 'P 1'
_cell_length_a 6.3667
_cell_length_b 6.3667
_cell_length_c 10.1747
_cell_angle_alpha 90.00
_cell_angle_beta 90.00
_cell_angle_gamma 120.00
loop_
_atom_site_label
_atom_site_type_symbol
_atom_site_fract_x
_atom_site_fract_y
_atom_site_fract_z
_atom_site_occupancy
Ba1 Ba 0.0000 0.0000 0.0000 1
Ac1 Ac 0.0000 0.0000 0.5000 1
P1 P 0.3333 0.6667 0.7688 1
P2 P 0.6667 0.3333 0.2312 1
Se1 Se 0.0276 0.6444 0.2946 1
Se2 Se 0.3333 0.6667 0.9859 1
Se3 Se 0.3556 0.3832 0.2946 1
Se4 Se 0.3832 0.0276 0.7054 1
Se5 Se 0.6168 0.9724 0.2946 1
Se6 Se 0.6444 0.6168 0.7054 1
Se7 Se 0.6667 0.3333 0.0141 1
Se8 Se 0.9724 0.3556 0.7054 1
```